1.
## LaYBeIn2 (PBE)

Data for a geometry-optimized LaYBeIn2 structure.

The structure in POSCAR format:
```
LaYBeIn2
1.0
4.930 0.000 0.000
0.000 5.313 0.000
0.000 0.000 4.930
Y Be In La
1 1 2 1
Cartesian
2.465 2.657 2.465
0.000 0.000 0.000
0.000 0.000 2.465
2.465 0.000 0.000
0.000 2.657 0.000
```

- Space-group type: P4/mmm, No. 123
- Crystal system: tetragonal
- Energy relative to the elements: 37 meV per atom

---

2.
## NdY5In4 (PBE)

Data for a geometry-optimized NdY5In4 structure.

The structure in POSCAR format:
```
NdY5In4
1.0
3.582 0.000 0.000
0.000 3.582 0.000
0.000 0.000 21.900
Nd Y In
1 5 4
Cartesian
0.000 0.000 0.000
1.791 1.791 2.609
1.791 1.791 6.764
1.791 1.791 10.950
1.791 1.791 15.136
1.791 1.791 19.291
0.000 0.000 4.670
0.000 0.000 8.858
0.000 0.000 13.043
0.000 0.000 17.230
```

- Space-group type: P4/mmm, No. 123
- Crystal system: tetragonal
- Energy relative to the elements: -401 meV per atom

---

3.
## PmAgSe2 (PBE)

Data for a geometry-optimized PmAgSe2 structure.

The structure in POSCAR format:
```
PmAgSe2
1.0
4.394 0.000 0.000
2.197 3.805 0.000
2.197 1.268 7.992
Se Ag Pm
2 1 1
Cartesian
2.197 1.268 5.510
6.591 3.805 2.482
0.000 0.000 0.000
4.394 2.537 3.996
```

- Space-group type: R-3m, No. 166
- Crystal system: trigonal
- Energy relative to the elements, uncorrected: -1.15 eV/atom

---

no.,E (eV per atom),total moment (μB per cell)
1,-4.0815,0.0
2,-5.2049,0.0
3,-4.7907,0.0